# Ba2Sr4Ag (PBE, optimized geometry)
# **Magnetization**: 0.0 μB/cell
# **DFT formation energy**: -0.01 eV per atom
data_Ba2Sr4Ag
_chemical_formula_sum 'Ba2 Sr4 Ag1'
_space_group_name_H-M_alt 'P 1 2/m 1'
_space_group_IT_number 10
_cell_length_a 8.031
_cell_length_b 4.284
_cell_length_c 11.346
_cell_angle_alpha 90.00
_cell_angle_beta 106.43
_cell_angle_gamma 90.00
loop_
_space_group_symop_operation_xyz
'x,y,z'
'-x,-y,-z'
'-x,y,-z'
'x,-y,z'
loop_
_atom_site_label
_atom_site_fract_x
_atom_site_fract_y
_atom_site_fract_z
_atom_site_occupancy
Ba1 0.250 0.000 0.001 1
Sr1 0.116 0.500 0.314 1
Sr2 0.357 0.000 0.654 1
Ag1 0.500 0.500 0.500 1